Material: KMnGaO3
Method: DFT, PBE+U
State: relaxed

Values from the calculation:
Magnetization = 5.00 μB/f.u.
Calculated total energy = -0.4477 Ry/atom

Cell: 3.1463 6.4666 11.2724 Å, 90.00 90.00 104.08°
Fractional coordinates of all 12 atoms:
1 K 0.8130 0.6261 0.7500
2 K 0.1870 0.3739 0.2500
3 Mn 0.0000 0.0000 0.5000
4 Mn 0.0000 0.0000 0.0000
5 Ga 0.5481 0.0962 0.7500
6 Ga 0.4519 0.9038 0.2500
7 O 0.5418 0.0836 0.3829
8 O 0.4582 0.9164 0.6171
9 O 0.4582 0.9164 0.8829
10 O 0.5418 0.0836 0.1171
11 O 0.1327 0.2654 0.7500
12 O 0.8673 0.7346 0.2500